[1]
The following is a DFT calculation (GGA-PBE) of a geometry-optimized LiTmGa structure.

Calculated values
Excess energy over the best structure of this formula in the dataset: 0 meV/atom
Space group: No. 216

Cell lengths 4.6509, 4.6509, 4.6509 Å; angles 60.00, 60.00, 60.00 degrees
Closest atoms and distances in Å follow each position.
Sites, in units of the cell vectors:
Ga  0.0000  0.0000  0.0000  4 Li 2.85, 4 Tm 2.85
Li  0.2500  0.2500  0.2500  4 Ga 2.85
Tm  0.7500  0.7500  0.7500  4 Ga 2.85



[2]
The following is a DFT calculation (GGA-PBE) of a geometry-optimized LuMo structure.

Calculated values
Excess energy over the best structure of this formula in the dataset: 0 meV/atom
Space group: No. 187
E_form: 0.57 eV per atom

Cell lengths 3.0829, 3.0829, 4.9592 Å; angles 90.00, 90.00, 120.00 degrees
Closest atoms and distances in Å follow each position.
Sites, in units of the cell vectors:
Lu  0.6667  0.3333  0.7500  6 Mo 3.05, 6 Lu 3.08
Mo  0.3333  0.6667  0.2500  6 Lu 3.05, 6 Mo 3.08



[3]
The following is a DFT calculation (GGA-PBE) of a geometry-optimized ZrSi3Hg5 structure.

Calculated values
E_tot: -2.52 eV per atom
Space group: No. 189

Cell lengths 7.9952, 7.9952, 3.5071 Å; angles 90.00, 90.00, 120.00 degrees
Closest atoms and distances in Å follow each position.
Sites, in units of the cell vectors:
Hg  0.2963  0.0000  0.0000  2 Hg 2.82, 2 Zr 2.95, 4 Si 3.16
Hg  0.0000  0.2963  0.0000  2 Hg 2.82, 2 Zr 2.95, 4 Si 3.16
Hg  0.6667  0.3333  0.0000  3 Hg 2.82, 6 Si 3.13
Hg  0.3333  0.6667  0.0000  3 Hg 2.82, 6 Si 3.13
Hg  0.7037  0.7037  0.0000  2 Hg 2.82, 2 Zr 2.95, 4 Si 3.16
Si  0.6463  0.0000  0.5000  1 Zr 2.83, 8 Hg 3.13-3.16
Si  0.3537  0.3537  0.5000  1 Zr 2.83, 8 Hg 3.13-3.16
Si  0.0000  0.6463  0.5000  1 Zr 2.83, 8 Hg 3.13-3.16
Zr  0.0000  0.0000  0.5000  3 Si 2.83, 6 Hg 2.95



[4]
The following is a DFT calculation (GGA-PBE) of a geometry-optimized CoSn10S10 structure.

Calculated values
E_tot: -4.48 eV per atom
Space group: No. 55

Cell lengths 8.2904, 11.3227, 11.3563 Å; angles 90.00, 90.00, 90.00 degrees
Closest atoms and distances in Å follow each position.
Sites, in units of the cell vectors:
Co  0.5000  0.5000  0.0000  6 Sn 2.55-2.68
Co  0.5000  0.0000  0.5000  6 Sn 2.55-2.68
S  0.0000  0.7776  0.0542  4 Sn 2.74-2.99
S  0.5000  0.8685  0.0986  3 Sn 2.58-2.71
S  0.0000  0.5049  0.1828  3 Sn 2.68-2.70
S  0.3041  0.1811  0.1830  3 Sn 2.58-2.71
S  0.6959  0.1811  0.1830  3 Sn 2.58-2.71
S  0.3041  0.6811  0.3170  3 Sn 2.58-2.71
S  0.6959  0.6811  0.3170  3 Sn 2.58-2.71
S  0.0000  0.0049  0.3172  3 Sn 2.68-2.70
S  0.5000  0.3685  0.4014  3 Sn 2.58-2.71
S  0.0000  0.2776  0.4458  4 Sn 2.74-2.99
S  0.0000  0.7224  0.5542  4 Sn 2.74-2.99
S  0.5000  0.6315  0.5986  3 Sn 2.58-2.71
S  0.0000  0.9951  0.6828  3 Sn 2.68-2.70
S  0.3041  0.3189  0.6830  3 Sn 2.58-2.71
S  0.6959  0.3189  0.6830  3 Sn 2.58-2.71
S  0.3041  0.8189  0.8170  3 Sn 2.58-2.71
S  0.6959  0.8189  0.8170  3 Sn 2.58-2.71
S  0.0000  0.4951  0.8172  3 Sn 2.68-2.70
S  0.5000  0.1315  0.9014  3 Sn 2.58-2.71
S  0.0000  0.2224  0.9458  4 Sn 2.74-2.99
Sn  0.2625  0.0000  0.0000  4 S 2.71-2.94
Sn  0.7375  0.0000  0.0000  4 S 2.71-2.94
Sn  0.2563  0.6221  0.0951  3 S 2.64-2.80, 1 Co 2.68
Sn  0.7437  0.6221  0.0951  3 S 2.64-2.80, 1 Co 2.68
Sn  0.5000  0.3579  0.1743  1 Co 2.55, 3 S 2.58
Sn  0.0000  0.2679  0.1824  5 S 2.68-2.99
Sn  0.0000  0.7679  0.3176  5 S 2.68-2.99
Sn  0.5000  0.8579  0.3257  1 Co 2.55, 3 S 2.58
Sn  0.2563  0.1221  0.4049  3 S 2.64-2.80, 1 Co 2.68
Sn  0.7437  0.1221  0.4049  3 S 2.64-2.80, 1 Co 2.68
Sn  0.2625  0.5000  0.5000  4 S 2.71-2.94
Sn  0.7375  0.5000  0.5000  4 S 2.71-2.94
Sn  0.2563  0.8779  0.5951  3 S 2.64-2.80, 1 Co 2.68
Sn  0.7437  0.8779  0.5951  3 S 2.64-2.80, 1 Co 2.68
Sn  0.5000  0.1421  0.6743  1 Co 2.55, 3 S 2.58
Sn  0.0000  0.2321  0.6824  5 S 2.68-2.99
Sn  0.0000  0.7321  0.8176  5 S 2.68-2.99
Sn  0.5000  0.6421  0.8257  1 Co 2.55, 3 S 2.58
Sn  0.2563  0.3779  0.9049  3 S 2.64-2.80, 1 Co 2.68
Sn  0.7437  0.3779  0.9049  3 S 2.64-2.80, 1 Co 2.68



Number 1: size of the total moment 1.00 μB/f.u.. Number 2: size of the total moment 0.01 μB/f.u.. Number 3: size of the total moment 0.00 μB/f.u.. Number 4: size of the total moment 0.01 μB/f.u..